Entry from the Alexandria database: a relaxed MnSiF2 crystal (PBE with a Hubbard U).

Calculated values
Magnetic moment: 4.30 μB/f.u.
Polymorph energy (0 for the lowest one): 275 meV/atom

```
data_MnSiF2
_space_group_name_H-M_alt 'R -3 m'
_space_group_IT_number 166
_space_group_name_Hall '-R 3 2"'
_cell_length_a 2.9133
_cell_length_b 2.9133
_cell_length_c 23.5170
_cell_angle_alpha 90.00
_cell_angle_beta 90.00
_cell_angle_gamma 120.00
loop_
_atom_site_label
_atom_site_type_symbol
_atom_site_fract_x
_atom_site_fract_y
_atom_site_fract_z
Mn1 Mn 0.0000 0.0000 0.0000
Si1 Si 0.0000 0.0000 0.5000
F1 F 0.0000 0.0000 0.0814
```

Entry from the Alexandria database: a relaxed SmMn3Tl2F12 crystal (PBE with a Hubbard U).

Calculated values
E: -310.96 eV for the cell shown
Magnetic moment: 14.00 μB/f.u.

```
data_SmMn3Tl2F12
_space_group_name_H-M_alt 'R -3 m'
_space_group_IT_number 166
_space_group_name_Hall '-R 3 2"'
_cell_length_a 7.7598
_cell_length_b 7.7598
_cell_length_c 18.7879
_cell_angle_alpha 90.00
_cell_angle_beta 90.00
_cell_angle_gamma 120.00
loop_
_atom_site_label
_atom_site_type_symbol
_atom_site_fract_x
_atom_site_fract_y
_atom_site_fract_z
Sm1 Sm 0.0000 0.0000 0.0000
Mn1 Mn 0.0000 0.5000 0.5000
Tl1 Tl 0.0000 0.0000 0.3541
F1 F 0.0269 0.5134 0.6140
F2 F 0.0893 0.5447 0.8363
```

Entry from the Alexandria database: a relaxed MnSn3F crystal (PBE with a Hubbard U).

Calculated values
Magnetic moment: 4.47 μB/f.u.
Polymorph energy (0 for the lowest one): 0 meV/atom

```
data_MnSn3F
_space_group_name_H-M_alt 'P m -3 m'
_space_group_IT_number 221
_space_group_name_Hall '-P 4 2 3'
_cell_length_a 4.9492
_cell_length_b 4.9492
_cell_length_c 4.9492
_cell_angle_alpha 90.00
_cell_angle_beta 90.00
_cell_angle_gamma 90.00
loop_
_atom_site_label
_atom_site_type_symbol
_atom_site_fract_x
_atom_site_fract_y
_atom_site_fract_z
Mn1 Mn 0.0000 0.0000 0.0000
Sn1 Sn 0.0000 0.5000 0.5000
F1 F 0.5000 0.5000 0.5000
```